i) First-principles (SCAN) data for a PBEsol-optimized structure of TcPt2Rh, as listed in Alexandria.

**D(E_F)**: 0.7374 states/eV/atom
**Crystal system**: orthorhombic
**Total magnetic moment**: 0.00 μB/f.u.

Geometry as CIF:
```
data_TcPt2Rh
_cell_length_a 2.707
_cell_length_b 3.848
_cell_length_c 5.467
_cell_angle_alpha 90.00
_cell_angle_beta 90.00
_cell_angle_gamma 90.00
_space_group_name_H-M_alt 'P m m 2'
_space_group_IT_number 25
loop_
_space_group_symop_operation_xyz
'x,y,z'
'-x,-y,z'
'-x,y,z'
'x,-y,z'
loop_
_atom_site_label
_atom_site_type_symbol
_atom_site_fract_x
_atom_site_fract_y
_atom_site_fract_z
Tc1 Tc 0.000 0.000 0.000
Pt1 Pt 0.000 0.000 0.511
Pt2 Pt 0.500 0.500 0.249
Rh1 Rh 0.500 0.500 0.769
```

ii) First-principles (SCAN) data for a PBEsol-optimized structure of TcPt2Rh, as listed in Alexandria.

**D(E_F)**: 1.1059 states/eV/atom
**Crystal system**: tetragonal
**Total magnetic moment**: 0.00 μB/f.u.

Geometry as CIF:
```
data_TcPt2Rh
_cell_length_a 2.703
_cell_length_b 2.703
_cell_length_c 7.785
_cell_angle_alpha 90.00
_cell_angle_beta 90.00
_cell_angle_gamma 90.00
_space_group_name_H-M_alt 'P 4/m m m'
_space_group_IT_number 123
_space_group_name_Hall '-P 4 2'
loop_
_atom_site_label
_atom_site_type_symbol
_atom_site_fract_x
_atom_site_fract_y
_atom_site_fract_z
Tc1 Tc 0.000 0.000 0.000
Pt1 Pt 0.500 0.500 0.245
Rh1 Rh 0.000 0.000 0.500
```

Sorted by energy, starting with the most stable: i), ii).

i) First-principles (SCAN) data for a PBEsol-optimized structure of TcPt2Rh, as listed in Alexandria.

**D(E_F)**: 1.0704 states/eV/atom
**Crystal system**: trigonal
**Total magnetic moment**: 0.00 μB/f.u.

Geometry as CIF:
```
data_TcPt2Rh
_cell_length_a 2.7241
_cell_length_b 2.7241
_cell_length_c 26.6380
_cell_angle_alpha 90.00
_cell_angle_beta 90.00
_cell_angle_gamma 120.00
_space_group_name_H-M_alt 'R -3 m'
_space_group_IT_number 166
_space_group_name_Hall '-R 3 2"'
loop_
_atom_site_label
_atom_site_type_symbol
_atom_site_fract_x
_atom_site_fract_y
_atom_site_fract_z
Tc1 Tc 0.0000 0.0000 0.0000
Pt1 Pt 0.0000 0.0000 0.2513
Rh1 Rh 0.0000 0.0000 0.5000
```

ii) First-principles (SCAN) data for a PBEsol-optimized structure of TcPt2Rh, as listed in Alexandria.

**D(E_F)**: 1.0229 states/eV/atom
**Crystal system**: tetragonal
**Total magnetic moment**: 0.00 μB/f.u.

Geometry as CIF:
```
data_TcPt2Rh
_cell_length_a 3.808
_cell_length_b 3.808
_cell_length_c 7.840
_cell_angle_alpha 90.00
_cell_angle_beta 90.00
_cell_angle_gamma 90.00
_space_group_name_H-M_alt 'I 4/m m m'
_space_group_IT_number 139
_space_group_name_Hall '-I 4 2'
loop_
_atom_site_label
_atom_site_type_symbol
_atom_site_fract_x
_atom_site_fract_y
_atom_site_fract_z
Tc1 Tc 0.000 0.000 0.000
Pt1 Pt 0.000 0.500 0.250
Rh1 Rh 0.000 0.000 0.500
```

Sorted by energy, starting with the most stable: ii), i).